(1)
CsCdBi2Br | PBE | relaxed

Cell lengths 5.738, 6.591, 5.738 Å; angles 90.00, 90.00, 90.00 degrees
Positions (direct):
Cd 0.000 0.000 0.000
Br 0.000 0.500 0.000
Bi 0.500 0.000 0.000
Bi 0.000 0.000 0.500
Cs 0.500 0.500 0.500

Magnetization ... 1.612 Bohr magnetons per cell
Symmetry ... No. 123
Formation energy from raw total energies ... -0.139 eV/atom
Fermi-level density of states ... 2.92 states/eV/cell
Raw total energy ... -2.379 eV/atom

***

(2)
Na2YPb3 | PBE | relaxed

Cell lengths 4.989, 7.917, 9.192 Å; angles 90.00, 89.99, 71.64 degrees
Positions (direct):
Pb 0.834 0.333 0.757
Pb 0.501 0.000 0.758
Pb 0.166 0.667 0.243
Pb 0.833 0.333 0.243
Pb 0.499 0.000 0.242
Pb 0.167 0.667 0.757
Na 0.000 0.000 0.000
Na 0.000 0.000 0.500
Na 0.664 0.671 0.500
Na 0.336 0.329 0.500
Y 0.663 0.675 0.000
Y 0.337 0.325 0.000

Magnetization ... 0.000 Bohr magnetons per cell
Symmetry ... No. 65
Fermi-level density of states ... 6.33 states/eV/cell
Raw total energy ... -3.629 eV/atom

***

(3)
Tb2USe6 | PBE | relaxed

Cell lengths 6.667, 6.667, 12.509 Å; angles 90.00, 90.00, 90.00 degrees
Positions (direct):
Tb 0.500 0.500 0.835
Tb 0.000 0.000 0.665
Tb 0.000 0.000 0.335
Tb 0.500 0.500 0.165
U 0.500 0.500 0.500
U 0.000 0.000 0.000
Se 0.790 0.210 0.500
Se 0.693 0.693 0.658
Se 0.307 0.307 0.342
Se 0.193 0.807 0.158
Se 0.693 0.693 0.342
Se 0.807 0.193 0.842
Se 0.807 0.193 0.158
Se 0.193 0.807 0.842
Se 0.307 0.307 0.658
Se 0.210 0.790 0.500
Se 0.290 0.290 0.000
Se 0.710 0.710 0.000

Magnetization ... 0.226 Bohr magnetons per cell
Symmetry ... No. 136
Formation energy from raw total energies ... -1.346 eV/atom
Fermi-level density of states ... 3.84 states/eV/cell
Raw total energy ... -5.953 eV/atom

***

(4)
Ca2TaCu | PBE | relaxed

Cell lengths 5.041, 5.041, 5.041 Å; angles 60.00, 60.00, 60.00 degrees
Positions (direct):
Ta 0.750 0.750 0.750
Ca 0.000 0.000 0.000
Ca 0.250 0.250 0.250
Cu 0.500 0.500 0.500

Magnetization ... 0.004 Bohr magnetons per cell
Symmetry ... No. 216
Fermi-level density of states ... 5.09 states/eV/cell
Raw total energy ... -4.157 eV/atom

***

(5)
BTeSe2Br | PBE | relaxed

Cell lengths 4.730, 4.730, 4.487 Å; angles 90.00, 90.00, 90.00 degrees
Positions (direct):
Te 0.500 0.500 0.500
Br 0.000 0.000 0.500
B 0.000 0.000 0.000
Se 0.500 0.000 0.000
Se 0.000 0.500 0.000

Magnetization ... 0.000 Bohr magnetons per cell
Symmetry ... No. 123
Formation energy from raw total energies ... 0.632 eV/atom
Fermi-level density of states ... 2.46 states/eV/cell
Raw total energy ... -3.061 eV/atom

***

(6)
La3Zr | PBE | relaxed

Cell lengths 5.672, 5.672, 5.672 Å; angles 60.00, 60.00, 60.00 degrees
Positions (direct):
La 0.500 0.500 0.500
La 0.250 0.250 0.250
La 0.000 0.000 0.000
Zr 0.750 0.750 0.750

Magnetization ... 0.894 Bohr magnetons per cell
Symmetry ... No. 225
Fermi-level density of states ... 9.93 states/eV/cell
Raw total energy ... -5.592 eV/atom

***

(7)
TaBeW | PBE | relaxed

Cell lengths 4.838, 4.838, 4.795 Å; angles 104.62, 104.62, 119.97 degrees
Positions (direct):
W 0.338 0.662 0.000
W 0.662 0.338 0.000
Ta 0.836 0.836 0.672
Ta 0.164 0.164 0.328
Be 0.750 0.250 0.500
Be 0.250 0.750 0.500

Magnetization ... 0.000 Bohr magnetons per cell
Symmetry ... No. 69
Fermi-level density of states ... 3.12 states/eV/cell
Raw total energy ... -9.667 eV/atom

***

(8)
CeHoErTc | PBE | relaxed

Cell lengths 4.470, 4.481, 6.799 Å; angles 90.02, 109.17, 120.05 degrees
Positions (direct):
Tc 0.816 0.273 0.086
Ho 0.398 0.064 0.461
Ce 0.506 0.617 0.126
Er 0.972 0.851 0.823

Magnetization ... 0.000 Bohr magnetons per cell
Symmetry ... No. 8
Fermi-level density of states ... 5.13 states/eV/cell
Raw total energy ... -6.239 eV/atom

***

(9)
KTiAg2Au | PBE | relaxed

Cell lengths 5.364, 4.978, 5.364 Å; angles 90.00, 90.00, 90.00 degrees
Positions (direct):
Ag 0.000 0.000 0.500
Ag 0.500 0.000 0.000
Ti 0.000 0.500 0.000
K 0.500 0.500 0.500
Au 0.000 0.000 0.000

Magnetization ... 1.924 Bohr magnetons per cell
Symmetry ... No. 123
Fermi-level density of states ... 13.45 states/eV/cell
Raw total energy ... -3.142 eV/atom

***

(10)
FeAgSb2Te | PBE | relaxed

Cell lengths 4.760, 4.760, 5.613 Å; angles 90.00, 90.00, 90.00 degrees
Positions (direct):
Te 0.000 0.000 0.500
Sb 0.500 0.000 0.000
Sb 0.000 0.500 0.000
Fe 0.000 0.000 0.000
Ag 0.500 0.500 0.500

Magnetization ... 0.000 Bohr magnetons per cell
Symmetry ... No. 123
Formation energy from raw total energies ... 0.458 eV/atom
Fermi-level density of states ... 3.87 states/eV/cell
Raw total energy ... -4.082 eV/atom

***

(11)
Y2ReRuAu | PBE | relaxed

Cell lengths 5.118, 5.006, 5.118 Å; angles 90.00, 90.00, 90.00 degrees
Positions (direct):
Y 0.500 0.000 0.000
Y 0.000 0.000 0.500
Ru 0.000 0.000 0.000
Au 0.000 0.500 0.000
Re 0.500 0.500 0.500

Magnetization ... 3.368 Bohr magnetons per cell
Symmetry ... No. 123
Fermi-level density of states ... 5.60 states/eV/cell
Raw total energy ... -6.586 eV/atom

***

(12)
CaPmDy2In4 | PBE | relaxed

Cell lengths 5.365, 5.365, 9.350 Å; angles 73.33, 73.33, 60.00 degrees
Positions (direct):
Pm 0.000 0.000 0.000
Ca 0.500 0.500 0.500
Dy 0.248 0.248 0.256
Dy 0.752 0.752 0.744
In 0.625 0.625 0.125
In 0.125 0.125 0.625
In 0.375 0.375 0.875
In 0.875 0.875 0.375

Magnetization ... 0.000 Bohr magnetons per cell
Symmetry ... No. 166
Fermi-level density of states ... 4.07 states/eV/cell
Raw total energy ... -3.830 eV/atom

***

(13)
La2PmAgRu | PBE | relaxed

Cell lengths 5.431, 5.431, 5.577 Å; angles 90.00, 90.00, 90.00 degrees
Positions (direct):
La 0.500 0.000 0.968
La 0.000 0.500 0.968
Ag 0.500 0.500 0.571
Ru 0.000 0.000 0.002
Pm 0.000 0.000 0.491

Magnetization ... 0.000 Bohr magnetons per cell
Symmetry ... No. 99
Fermi-level density of states ... 4.36 states/eV/cell
Raw total energy ... -5.441 eV/atom

***

(14)
U4TlS8 | PBE | relaxed

Cell lengths 8.224, 8.224, 8.224 Å; angles 60.00, 60.00, 60.00 degrees
Positions (direct):
Tl 0.750 0.750 0.750
S 0.606 0.182 0.606
S 0.606 0.606 0.182
S 0.182 0.606 0.606
S 0.140 0.140 0.579
S 0.140 0.140 0.140
S 0.140 0.579 0.140
S 0.579 0.140 0.140
S 0.606 0.606 0.606
U 0.373 0.373 0.881
U 0.373 0.373 0.373
U 0.881 0.373 0.373
U 0.373 0.881 0.373

Magnetization ... 9.000 Bohr magnetons per cell
Symmetry ... No. 216
Formation energy from raw total energies ... -1.229 eV/atom
Fermi-level density of states ... 24.59 states/eV/cell
Raw total energy ... -7.424 eV/atom

***

(15)
SiGe2P4Au | PBE | relaxed

Cell lengths 5.664, 5.664, 6.489 Å; angles 114.25, 114.25, 93.37 degrees
Positions (direct):
P 0.612 0.612 0.749
P 0.137 0.137 0.749
P 0.855 0.380 0.235
P 0.380 0.855 0.235
Si 0.501 0.501 0.001
Au 0.003 0.003 0.007
Ge 0.256 0.756 0.512
Ge 0.756 0.256 0.512

Magnetization ... 0.000 Bohr magnetons per cell
Symmetry ... No. 42
Formation energy from raw total energies ... -0.016 eV/atom
Fermi-level density of states ... 1.83 states/eV/cell
Raw total energy ... -4.963 eV/atom

***

(16)
BaYSc | PBE | relaxed

Cell lengths 5.636, 5.636, 5.636 Å; angles 60.00, 60.00, 60.00 degrees
Positions (direct):
Y 0.750 0.750 0.750
Ba 0.000 0.000 0.000
Sc 0.500 0.500 0.500

Magnetization ... 0.174 Bohr magnetons per cell
Symmetry ... No. 216
Fermi-level density of states ... 6.90 states/eV/cell
Raw total energy ... -3.988 eV/atom

***

(17)
MgSi2Ir | PBE | relaxed

Cell lengths 2.938, 3.432, 6.096 Å; angles 90.00, 90.00, 90.00 degrees
Positions (direct):
Mg 0.500 0.500 0.750
Si 0.000 0.000 0.034
Si 0.500 0.500 0.271
Ir 0.000 0.000 0.445

Magnetization ... 0.000 Bohr magnetons per cell
Symmetry ... No. 25
Formation energy from raw total energies ... -0.181 eV/atom
Fermi-level density of states ... 1.97 states/eV/cell
Raw total energy ... -5.506 eV/atom

***

(18)
KMg2CdB | PBE | relaxed

Cell lengths 5.299, 6.235, 5.299 Å; angles 90.00, 90.00, 90.00 degrees
Positions (direct):
B 0.500 0.500 0.500
K 0.000 0.500 0.000
Mg 0.000 0.000 0.500
Mg 0.500 0.000 0.000
Cd 0.000 0.000 0.000

Magnetization ... 0.009 Bohr magnetons per cell
Symmetry ... No. 123
Fermi-level density of states ... 3.27 states/eV/cell
Raw total energy ... -1.185 eV/atom

***

(19)
PmNd2Sm5Y | PBE | relaxed

Cell lengths 8.801, 8.801, 10.136 Å; angles 115.73, 115.73, 90.00 degrees
Positions (direct):
Sm 0.073 0.573 0.721
Sm 0.427 0.352 0.279
Sm 0.927 0.427 0.279
Sm 0.352 0.852 0.279
Sm 0.148 0.073 0.721
Sm 0.000 0.000 0.000
Sm 0.500 0.500 0.000
Sm 0.852 0.927 0.279
Sm 0.648 0.148 0.721
Sm 0.573 0.648 0.721
Nd 0.118 0.382 0.000
Nd 0.382 0.882 0.000
Nd 0.882 0.618 0.000
Nd 0.618 0.118 0.000
Pm 0.750 0.750 0.500
Pm 0.250 0.250 0.500
Y 0.750 0.250 0.500
Y 0.250 0.750 0.500

Magnetization ... 0.000 Bohr magnetons per cell
Symmetry ... No. 140
Fermi-level density of states ... 26.73 states/eV/cell
Raw total energy ... -4.660 eV/atom

***

(20)
Rb2AsH | PBE | relaxed

Cell lengths 5.794, 5.794, 5.794 Å; angles 60.00, 60.00, 60.00 degrees
Positions (direct):
As 0.500 0.500 0.500
Rb 0.750 0.750 0.750
Rb 0.250 0.250 0.250
H 0.000 0.000 0.000

Magnetization ... 2.000 Bohr magnetons per cell
Symmetry ... No. 225
Fermi-level density of states ... 7.35 states/eV/cell
Raw total energy ... -2.249 eV/atom